Entry 1:
Density functional theory data (PBE) for a geometry-optimized Ce2GeS5 structure.

The structure in POSCAR format:
```
Ce2GeS5
1.0
5.3511 0.0000 0.0000
-2.6756 6.5560 0.0000
0.0000 0.0000 13.0410
S Ce Ge
10 4 2
Direct
0.2544 0.5087 0.7500
0.9482 0.8964 0.6174
0.0518 0.1036 0.3826
0.7456 0.4913 0.2500
0.9482 0.8964 0.8826
0.0518 0.1036 0.1174
0.6894 0.3789 0.9322
0.3106 0.6211 0.4322
0.6894 0.3789 0.5678
0.3106 0.6211 0.0678
0.1451 0.2902 0.9334
0.8549 0.7098 0.4334
0.1451 0.2902 0.5666
0.8549 0.7098 0.0666
0.8110 0.6219 0.7500
0.1890 0.3781 0.2500
```

Excess energy over the best structure of this formula in the dataset   0.079 eV per atom
Energy relative to the elements, uncorrected   -1.2995 eV per atom

=====

Entry 2:
Density functional theory data (PBE) for a geometry-optimized Hg2SO6 structure.

The structure in POSCAR format:
```
Hg2SO6
1.0
4.9200 0.0000 0.0000
0.0000 4.9200 0.0000
0.0000 0.0000 9.6565
O Hg S
12 4 2
Direct
0.1662 0.8338 0.6238
0.8338 0.1662 0.6238
0.3338 0.3338 0.8762
0.7596 0.7596 0.5000
0.1662 0.8338 0.3762
0.2404 0.2404 0.5000
0.8338 0.1662 0.3762
0.6662 0.6662 0.1238
0.6662 0.6662 0.8762
0.7404 0.2596 0.0000
0.3338 0.3338 0.1238
0.2596 0.7404 0.0000
0.0000 0.0000 0.8341
0.0000 0.0000 0.1659
0.5000 0.5000 0.6659
0.5000 0.5000 0.3341
0.5000 0.5000 0.0000
0.0000 0.0000 0.5000
```

Energy relative to the elements, uncorrected   -0.1929 eV per atom

=====

Entry 3:
Density functional theory data (PBE) for a geometry-optimized CeMg6Cu6 structure.

The structure in POSCAR format:
```
CeMg6Cu6
1.0
-4.4464 -2.5923 0.9399
-2.1629 -3.6170 -5.6460
1.2244 -6.4997 2.4276
Cu Mg Ce
6 6 1
Direct
0.0000 0.0000 0.5000
0.5000 0.0000 0.5000
0.5000 0.5000 0.0000
0.5000 0.7727 0.2273
0.0000 0.5000 0.0000
0.5000 0.2273 0.7727
0.0000 0.3387 0.6613
0.3467 0.6533 0.6533
0.3072 0.1928 0.1928
0.6928 0.8072 0.8072
0.6533 0.3467 0.3467
0.0000 0.6613 0.3387
0.0000 0.0000 0.0000
```

ΔE_f   -0.08 eV/atom

=====

Entry 4:
Density functional theory data (PBE) for a geometry-optimized MgTe2Os structure.

The structure in POSCAR format:
```
MgTe2Os
1.0
-4.2862 -5.2764 5.4110
-1.0186 -4.2821 7.4911
-4.1636 -1.8134 7.4072
Te Os Mg
2 1 1
Direct
0.8870 0.8870 0.8870
0.1130 0.1130 0.1130
0.5000 0.5000 0.5000
0.0000 0.0000 0.0000
```

Energy relative to the elements, uncorrected   0.1806 eV per atom

=====

Entry 5:
Density functional theory data (PBE) for a geometry-optimized Ce4Sb2Ru structure.

The structure in POSCAR format:
```
Ce4Sb2Ru
1.0
-6.0918 -2.1141 1.6052
2.6048 -4.7305 3.6549
2.9497 6.5372 6.3588
Ce Ru Sb
8 2 4
Direct
0.1373 0.7500 0.4307
0.8627 0.2500 0.5693
0.4902 0.4784 0.2395
0.9202 0.2500 0.1260
0.0798 0.7500 0.8740
0.5098 0.5216 0.7605
0.4902 0.0216 0.2395
0.5098 0.9784 0.7605
0.1831 0.7500 0.1797
0.8169 0.2500 0.8203
0.7243 0.7500 0.5424
0.7460 0.7500 0.0718
0.2540 0.2500 0.9282
0.2757 0.2500 0.4576
```

Energy relative to the elements, uncorrected   -0.6505 eV per atom

=====

Entry 6:
Density functional theory data (PBE) for a geometry-optimized BTeS2Cl structure.

The structure in POSCAR format:
```
BTeS2Cl
1.0
-3.2560 3.9243 0.0937
-2.0119 -1.5637 -4.4178
-3.4440 -2.9196 2.6018
B Te S Cl
1 1 2 1
Direct
0.5000 0.5000 0.5000
0.0000 0.0000 0.0000
0.0000 0.5000 0.0000
0.5000 0.0000 0.0000
0.0000 0.0000 0.5000
```

Excess energy over the best structure of this formula in the dataset   0.623 eV per atom
Energy relative to the elements, uncorrected   1.1792 eV per atom

=====

Entry 7:
Density functional theory data (PBE) for a geometry-optimized PmDy3In structure.

The structure in POSCAR format:
```
PmDy3In
1.0
-3.1742 -1.1987 -4.9080
-0.5820 -7.7108 2.2596
-5.5949 5.3111 2.3213
Dy Pm In
6 2 2
Direct
0.7500 0.1936 0.8065
0.7500 0.1936 0.3871
0.7500 0.6130 0.8065
0.2500 0.8064 0.6129
0.2500 0.3870 0.1935
0.2500 0.8064 0.1935
0.7499 0.6667 0.3334
0.2501 0.3333 0.6666
0.5000 0.0000 0.0000
0.0000 0.0000 0.0000
```

Excess energy over the best structure of this formula in the dataset   0.257 eV per atom
ΔE_f   0.08 eV/atom

=====

Entry 8:
Density functional theory data (PBE) for a geometry-optimized Th2Tl9Pb structure.

The structure in POSCAR format:
```
Th2Tl9Pb
1.0
-1.1189 -4.6018 -1.0996
1.9817 -1.4818 4.1851
-12.9889 1.5567 6.7015
Th Tl Pb
2 9 1
Direct
0.0000 0.0000 0.6577
0.0000 0.0000 0.3423
0.0000 0.5000 0.1702
0.0000 0.5000 0.5000
0.5000 0.0000 0.1702
0.5000 0.5000 0.0000
0.5000 0.0000 0.8298
0.5000 0.0000 0.5000
0.5000 0.5000 0.3370
0.5000 0.5000 0.6630
0.0000 0.5000 0.8298
0.0000 0.0000 0.0000
```

ΔE_f   -0.06 eV/atom

=====

Entry 9:
Density functional theory data (PBE) for a geometry-optimized MgZnPb2O6 structure.

The structure in POSCAR format:
```
MgZnPb2O6
1.0
-3.1593 -4.2993 -1.2993
0.1309 -4.5375 3.0902
-4.5814 -1.1598 3.3715
O Pb Zn Mg
6 2 1 1
Direct
0.1108 0.4317 0.7563
0.2062 0.9355 0.2528
0.7012 0.1108 0.7563
0.9356 0.6054 0.2528
0.6054 0.2063 0.2528
0.4317 0.7013 0.7562
0.0236 0.0236 0.9291
0.5265 0.5265 0.4206
0.8072 0.8072 0.5786
0.3134 0.3134 0.0597
```

Energy relative to the elements, uncorrected   -1.3291 eV per atom

=====

Entry 10:
Density functional theory data (PBE) for a geometry-optimized LaTmRh4 structure.

The structure in POSCAR format:
```
LaTmRh4
1.0
5.3819 0.0000 0.0000
2.6909 4.6609 0.0000
2.6909 1.5536 4.3943
La Rh Tm
1 4 1
Direct
0.0000 0.0000 0.0000
0.6246 0.1261 0.6246
0.6246 0.6246 0.1261
0.6246 0.6246 0.6246
0.1261 0.6246 0.6246
0.2500 0.2500 0.2500
```

ΔE_f   -0.70 eV/atom

=====

Entry 11:
Density functional theory data (PBE) for a geometry-optimized HgSb2Br structure.

The structure in POSCAR format:
```
HgSb2Br
1.0
-2.3777 -2.8805 -2.6669
2.9350 -3.3750 1.0286
-6.2145 -6.0486 8.1247
Hg Sb Br
2 4 2
Direct
0.0000 0.0000 0.0000
0.7500 0.2500 0.5000
0.0733 0.6250 0.2500
0.6767 0.1250 0.2500
0.8750 0.9267 0.7500
0.3750 0.3233 0.7500
0.2500 0.7500 0.5000
0.5000 0.5000 0.0000
```

Excess energy over the best structure of this formula in the dataset   0.153 eV per atom
Energy relative to the elements, uncorrected   0.0332 eV per atom

=====

Entry 12:
Density functional theory data (PBE) for a geometry-optimized PaPd4Pt2 structure.

The structure in POSCAR format:
```
PaPd4Pt2
1.0
-2.9480 3.2610 1.3202
-4.4829 -1.7682 -5.6428
-3.5004 -4.9136 4.3206
Pd Pa Pt
8 2 4
Direct
0.5000 0.9028 0.3562
0.0000 0.8562 0.5972
0.5000 0.0972 0.6438
0.0000 0.5972 0.8562
0.5000 0.6438 0.0972
0.5000 0.3562 0.9028
0.0000 0.4028 0.1438
0.0000 0.1438 0.4028
0.5000 0.0000 0.0000
0.0000 0.5000 0.5000
0.5000 0.3228 0.3228
0.5000 0.6772 0.6772
0.0000 0.8228 0.1772
0.0000 0.1772 0.8228
```

Excess energy over the best structure of this formula in the dataset   0.087 eV per atom
ΔE_f   -0.43 eV/atom

=====

Results for density of states at the Fermi level: 2.0 2.6 12.7 3.4 18.4 1.8 7.6 6.0 0.2 4.0 1.6 4.5 (in states/eV/f.u., following the order of the records).